RbPb2Br GGA-PBE optimized geometry; ΔE_f (raw) = -0.48 eV/atom; space-group type = I-42d; energy relative to the lowest polymorph listed for this composition = 0.0 meV/atom
1.0
-2.2913 2.2913 16.0486
2.2913 -2.2913 16.0486
2.2913 2.2913 -16.0486
Rb Pb Br
2 4 2
Direct
0.0000 0.0000 0.0000
0.7500 0.2500 0.5000
0.1263 0.6250 0.0013
0.3750 0.3763 0.5013
0.6237 0.1250 0.9987
0.8750 0.8737 0.4987
0.2500 0.7500 0.5000
0.5000 0.5000 0.0000

Rb12Pb3Br5 GGA-PBE optimized geometry; ΔE_f (raw) = -0.79 eV/atom; space-group type = Ia-3d
1.0
-10.5688 10.5688 10.5688
10.5688 -10.5688 10.5688
10.5688 10.5688 -10.5688
Rb Pb Br
48 12 20
Direct
0.0447 0.2170 0.1320
0.0447 0.3277 0.9127
0.0850 0.7170 0.6723
0.0850 0.8680 0.4127
0.0873 0.6320 0.4150
0.0873 0.9553 0.6723
0.1320 0.0447 0.2170
0.1320 0.5873 0.9150
0.1723 0.2170 0.5850
0.1723 0.4553 0.5873
0.2170 0.1320 0.0447
0.2170 0.5850 0.1723
0.2830 0.3277 0.9150
0.2830 0.4553 0.3680
0.3277 0.9127 0.0447
0.3277 0.9150 0.2830
0.3680 0.2830 0.4553
0.3680 0.5850 0.9127
0.4127 0.0850 0.8680
0.4127 0.8277 0.5447
0.4150 0.0873 0.6320
0.4150 0.8277 0.7830
0.4553 0.3680 0.2830
0.4553 0.5873 0.1723
0.5447 0.4127 0.8277
0.5447 0.6320 0.7170
0.5850 0.1723 0.2170
0.5850 0.9127 0.3680
0.5873 0.1723 0.4553
0.5873 0.9150 0.1320
0.6320 0.4150 0.0873
0.6320 0.7170 0.5447
0.6723 0.0850 0.7170
0.6723 0.0873 0.9553
0.7170 0.5447 0.6320
0.7170 0.6723 0.0850
0.7830 0.4150 0.8277
0.7830 0.8680 0.9553
0.8277 0.5447 0.4127
0.8277 0.7830 0.4150
0.8680 0.4127 0.0850
0.8680 0.9553 0.7830
0.9127 0.0447 0.3277
0.9127 0.3680 0.5850
0.9150 0.1320 0.5873
0.9150 0.2830 0.3277
0.9553 0.6723 0.0873
0.9553 0.7830 0.8680
0.1250 0.2500 0.3750
0.1250 0.3750 0.7500
0.2500 0.3750 0.1250
0.2500 0.8750 0.6250
0.3750 0.1250 0.2500
0.3750 0.7500 0.1250
0.6250 0.2500 0.8750
0.6250 0.8750 0.7500
0.7500 0.1250 0.3750
0.7500 0.6250 0.8750
0.8750 0.6250 0.2500
0.8750 0.7500 0.6250
0.0000 0.0000 0.0000
0.0000 0.0000 0.5000
0.0000 0.5000 0.0000
0.0000 0.5000 0.5000
0.1250 0.7500 0.8750
0.1250 0.8750 0.2500
0.2500 0.1250 0.8750
0.2500 0.6250 0.3750
0.3750 0.2500 0.6250
0.3750 0.6250 0.7500
0.5000 0.0000 0.0000
0.5000 0.0000 0.5000
0.5000 0.5000 0.0000
0.5000 0.5000 0.5000
0.6250 0.3750 0.2500
0.6250 0.7500 0.3750
0.7500 0.3750 0.6250
0.7500 0.8750 0.1250
0.8750 0.1250 0.7500
0.8750 0.2500 0.1250

Rb3PbBr GGA-PBE optimized geometry; ΔE_f (raw) = -0.56 eV/atom; space-group type = Pm-3m; energy relative to the lowest polymorph listed for this composition = 0.0 meV/atom
1.0
6.5536 0.0000 0.0000
0.0000 6.5536 0.0000
0.0000 0.0000 6.5536
Rb Pb Br
3 1 1
Direct
0.0000 0.0000 0.5000
0.0000 0.5000 0.0000
0.5000 0.0000 0.0000
0.5000 0.5000 0.5000
0.0000 0.0000 0.0000

RbPbBr4 GGA-PBE optimized geometry; ΔE_f (raw) = -0.94 eV/atom; space-group type = Cmmm
1.0
3.3151 -3.9882 0.0000
3.3151 3.9882 0.0000
0.0000 0.0000 8.5552
Rb Pb Br
1 1 4
Direct
0.0000 0.0000 0.0000
0.5000 0.5000 0.5000
0.0000 0.5000 0.2795
0.0000 0.5000 0.7205
0.5000 0.0000 0.2795
0.5000 0.0000 0.7205

RbPbBr2 GGA-PBE optimized geometry; ΔE_f (raw) = -0.83 eV/atom; space-group type = Fm-3m; energy relative to the lowest polymorph listed for this composition = 91.3 meV/atom
1.0
0.0000 4.0671 4.0671
4.0671 0.0000 4.0671
4.0671 4.0671 0.0000
Rb Pb Br
1 1 2
Direct
0.0000 0.0000 0.0000
0.5000 0.5000 0.5000
0.2500 0.2500 0.2500
0.7500 0.7500 0.7500

Rb6PbBr8 GGA-PBE optimized geometry; ΔE_f (raw) = -1.57 eV/atom; space-group type = R-3
1.0
5.1050 2.9473 6.8394
-5.1050 2.9473 6.8394
0.0000 -5.8947 6.8394
Rb Pb Br
6 1 8
Direct
0.0165 0.4394 0.8064
0.1936 0.9835 0.5606
0.4394 0.8064 0.0165
0.5606 0.1936 0.9835
0.8064 0.0165 0.4394
0.9835 0.5606 0.1936
0.5000 0.5000 0.5000
0.1590 0.1590 0.1590
0.1759 0.6655 0.4037
0.3345 0.5963 0.8241
0.4037 0.1759 0.6655
0.5963 0.8241 0.3345
0.6655 0.4037 0.1759
0.8241 0.3345 0.5963
0.8410 0.8410 0.8410

Rb2Pb3Br8 GGA-PBE optimized geometry; ΔE_f (raw) = -1.20 eV/atom; space-group type = C2/m
1.0
8.3836 -4.5517 0.0000
8.3836 4.5517 0.0000
-2.5227 0.0000 7.3953
Rb Pb Br
2 3 8
Direct
0.2315 0.2315 0.1640
0.7685 0.7685 0.8360
0.2409 0.7591 0.5000
0.5000 0.5000 0.0000
0.7591 0.2409 0.5000
0.1135 0.1135 0.4558
0.1615 0.6194 0.1040
0.3806 0.8385 0.8960
0.3932 0.3932 0.5949
0.6068 0.6068 0.4051
0.6194 0.1615 0.1040
0.8385 0.3806 0.8960
0.8865 0.8865 0.5442

Rb3PbBr6 GGA-PBE optimized geometry; ΔE_f (raw) = -1.23 eV/atom; space-group type = Fm-3m; energy relative to the lowest polymorph listed for this composition = 68.2 meV/atom
1.0
0.0000 6.1048 6.1048
6.1048 0.0000 6.1048
6.1048 6.1048 0.0000
Rb Pb Br
3 1 6
Direct
0.0000 0.0000 0.0000
0.2500 0.2500 0.2500
0.7500 0.7500 0.7500
0.5000 0.5000 0.5000
0.2652 0.2652 0.7348
0.2652 0.7348 0.2652
0.2652 0.7348 0.7348
0.7348 0.2652 0.2652
0.7348 0.2652 0.7348
0.7348 0.7348 0.2652

Rb2PbBr4 GGA-PBE optimized geometry; ΔE_f (raw) = -1.42 eV/atom; space-group type = Pbam; energy relative to the lowest polymorph listed for this composition = 0.0 meV/atom
1.0
8.6130 0.0000 0.0000
0.0000 13.9842 0.0000
0.0000 0.0000 4.7592
Rb Pb Br
4 2 8
Direct
0.0846 0.1813 0.0000
0.4154 0.6813 0.0000
0.5846 0.3187 0.0000
0.9154 0.8187 0.0000
0.0000 0.5000 0.5000
0.5000 0.0000 0.5000
0.1305 0.7008 0.5000
0.2230 0.4512 0.0000
0.2770 0.9512 0.0000
0.3695 0.2008 0.5000
0.6305 0.7992 0.5000
0.7230 0.0488 0.0000
0.7770 0.5488 0.0000
0.8695 0.2992 0.5000

RbPb2Br GGA-PBE optimized geometry; ΔE_f (raw) = 0.10 eV/atom; space-group type = Fm-3m; energy relative to the lowest polymorph listed for this composition = 578.9 meV/atom
1.0
0.0000 4.1584 4.1584
4.1584 0.0000 4.1584
4.1584 4.1584 0.0000
Rb Pb Br
1 2 1
Direct
0.0000 0.0000 0.0000
0.2500 0.2500 0.2500
0.7500 0.7500 0.7500
0.5000 0.5000 0.5000

Rb2PbBr GGA-PBE optimized geometry; ΔE_f (raw) = -0.50 eV/atom; space-group type = Fm-3m; energy relative to the lowest polymorph listed for this composition = 7.2 meV/atom
1.0
0.0000 4.5002 4.5002
4.5002 0.0000 4.5002
4.5002 4.5002 0.0000
Rb Pb Br
2 1 1
Direct
0.2500 0.2500 0.2500
0.7500 0.7500 0.7500
0.0000 0.0000 0.0000
0.5000 0.5000 0.5000

Rb3PbBr6 GGA-PBE optimized geometry; ΔE_f (raw) = -1.30 eV/atom; space-group type = P2_1/c; energy relative to the lowest polymorph listed for this composition = 0.0 meV/atom
1.0
8.2084 0.0000 0.0000
0.0000 8.7932 0.0000
-7.9250 0.0000 11.7265
Rb Pb Br
6 2 12
Direct
0.0000 0.0000 0.0000
0.0000 0.5000 0.5000
0.2131 0.0765 0.7427
0.2131 0.4235 0.2427
0.7869 0.5765 0.7573
0.7869 0.9235 0.2573
0.5000 0.0000 0.5000
0.5000 0.5000 0.0000
0.1597 0.1780 0.4454
0.1597 0.3220 0.9454
0.2557 0.7257 0.4222
0.2557 0.7743 0.9222
0.4030 0.0586 0.2719
0.4030 0.4414 0.7719
0.5970 0.5586 0.2281
0.5970 0.9414 0.7281
0.7443 0.2257 0.0778
0.7443 0.2743 0.5778
0.8403 0.6780 0.0546
0.8403 0.8220 0.5546